TlFeCo (PBE, optimized geometry); SG = F-43m (216); energy = -5.355 eV/atom; energy relative to the lowest polymorph listed for this composition = 196 meV per atom; energy relative to the elements = 0.623 eV per atom
1.0
-2.2721 0.3430 3.5017
-4.1045 -0.8297 -0.0772
-1.4775 -3.4371 1.8828
Co Fe Tl
1 1 1
Cartesian
-5.8906 -2.9428 3.9804
0.0000 0.0000 0.0000
-3.9271 -1.9619 2.6536

=====

Tl2FeCo (PBE, optimized geometry); SG = Cmmm (65); energy = -4.403 eV/atom; energy relative to the lowest polymorph listed for this composition = 276 meV per atom; energy relative to the elements = 0.673 eV per atom
1.0
-2.1722 4.0451 -0.7849
-4.1120 -2.1677 0.3000
-0.0769 0.5712 3.1334
Co Fe Tl
1 1 2
Cartesian
-1.1246 2.3082 1.1743
-2.0945 -0.7982 1.7167
0.0000 0.0000 0.0000
-3.1421 0.9387 -0.2425

=====

TlFeCo2 (PBE, optimized geometry); SG = F-43m (216); energy = -5.757 eV/atom; energy relative to the lowest polymorph listed for this composition = 196 meV per atom; energy relative to the elements = 0.503 eV per atom
1.0
4.3002 0.0000 0.0000
2.1501 3.7240 0.0000
2.1501 1.2413 3.5111
Co Fe Tl
2 1 1
Cartesian
0.0000 0.0000 0.0000
2.1501 1.2413 0.8778
4.3002 2.4827 1.7555
6.4502 3.7240 2.6333

=====

Tl2FeCo (PBE, optimized geometry); SG = Pm (6); energy = -4.564 eV/atom; energy relative to the lowest polymorph listed for this composition = 114 meV per atom; energy relative to the elements = 0.511 eV per atom
1.0
-2.8702 -0.1311 1.6822
-1.3734 -3.2744 -2.5984
1.4588 -5.1528 2.0875
Co Fe Tl
1 1 2
Cartesian
-0.2800 -4.7203 -0.8456
-1.0813 -5.8259 0.9959
-0.0052 -7.9384 -0.6274
-1.2900 -2.7146 0.8822

=====

TlFeCo2 (PBE, optimized geometry); SG = Pmmm (47); energy = -5.952 eV/atom; energy relative to the lowest polymorph listed for this composition = 0 meV per atom; energy relative to the elements = 0.308 eV per atom
1.0
-0.6582 -2.3116 1.8035
-1.5601 -1.2752 -2.2038
3.5912 -4.2483 -4.1345
Co Fe Tl
2 1 1
Cartesian
-1.3393 -1.4025 -2.2864
0.7947 -2.6344 -3.0865
0.1787 -2.5367 -0.6828
1.1942 -5.2984 -3.8519

=====

TlFeCo2 (PBE, optimized geometry); SG = P4mm (99); energy = -5.858 eV/atom; energy relative to the lowest polymorph listed for this composition = 94 meV per atom; energy relative to the elements = 0.402 eV per atom
1.0
-0.3875 -2.7122 -1.2162
2.9297 -0.5556 0.3058
-1.0992 -2.5156 5.9601
Co Fe Tl
2 1 1
Cartesian
-0.0698 -0.1597 0.3784
1.0109 -2.2295 0.9559
-0.4870 -1.1146 2.6408
0.4394 -3.5374 4.0547

=====

Tl2FeCo (PBE, optimized geometry); SG = Cmmm (65); energy = -4.321 eV/atom; energy relative to the lowest polymorph listed for this composition = 358 meV per atom; energy relative to the elements = 0.754 eV per atom
1.0
-1.5674 -1.7179 2.0036
0.4082 -1.4193 -2.6910
7.3123 -3.3296 2.8654
Co Fe Tl
1 1 2
Cartesian
1.2485 -2.4010 0.3727
4.9046 -4.0658 1.8054
0.0466 -0.0212 0.0183
3.6096 -1.6436 1.4144

=====

Tl2FeCo (PBE, optimized geometry); SG = P4mm (99); energy = -4.678 eV/atom; energy relative to the lowest polymorph listed for this composition = 0 meV per atom; energy relative to the elements = 0.397 eV per atom
1.0
3.0836 -0.0106 0.0000
0.0118 3.0836 0.0000
0.0000 0.0000 8.3758
Co Fe Tl
1 1 2
Cartesian
0.0000 0.0000 4.6832
1.5477 1.5365 5.7559
0.0000 0.0000 7.8882
1.5477 1.5365 2.6123

=====

Tm3Fe2Co7 (PBE, optimized geometry); SG = R-3m (166); energy = -6.898 eV/atom; energy relative to the elements = -0.225 eV per atom
1.0
4.7905 0.0000 1.4994
2.1606 4.2756 1.4994
-0.0062 -0.0038 8.4222
Tm Fe Co
3 2 7
Cartesian
0.0000 0.0000 0.0000
5.9706 3.6725 6.1316
0.9743 0.5993 5.2895
4.6255 2.8451 2.0267
2.3194 1.4267 9.3943
3.4725 2.1359 5.7105
5.3111 1.7762 4.0868
3.9807 3.9392 4.0868
2.8876 1.7762 3.3283
1.6338 2.4956 7.3342
4.0573 2.4956 8.0928
2.9642 0.3326 7.3342

=====

Tm8FeCo2 (PBE, optimized geometry); SG = Cm (8); energy = -5.335 eV/atom; energy relative to the lowest polymorph listed for this composition = 62 meV per atom; energy relative to the elements = -0.022 eV per atom
1.0
5.7417 0.0698 -0.9567
-1.8716 6.4537 -2.7547
-0.1226 -0.1522 7.2597
Tm Co Fe
8 2 1
Cartesian
2.6656 2.2564 -0.8950
3.1227 0.5301 1.7221
0.2840 2.2578 1.4398
5.2088 1.3019 4.2174
4.1916 5.1440 -1.6071
3.3288 4.1043 2.1260
0.3916 5.9182 1.9377
0.8439 4.2100 4.5274
1.4106 4.4685 -0.0672
2.0704 1.9765 3.7106
-1.1025 6.2740 4.3311

=====

TmFeCo2 (PBE, optimized geometry); SG = Pmma (51); energy = -6.755 eV/atom; energy relative to the lowest polymorph listed for this composition = 45 meV per atom; energy relative to the elements = 0.032 eV per atom
1.0
-2.1361 2.3624 3.1570
-0.6080 -3.9480 2.5430
10.2051 1.9406 5.4528
Tm Fe Co
4 4 8
Cartesian
6.9173 0.3573 4.4131
-0.5860 -1.6014 3.9870
2.6797 -2.3648 3.5827
8.0469 1.9564 7.1658
5.3331 -0.4759 7.1497
2.1278 0.8308 4.0031
4.4534 -0.1113 3.0965
5.1436 -1.8962 4.8992
0.0000 0.0000 0.0000
3.7305 0.1775 5.5764
7.6077 -0.7439 7.2774
-0.1468 1.0989 3.8754
6.5267 0.4517 8.8751
0.9342 -0.0967 2.2777
-0.3040 -1.9740 1.2715
4.0345 2.1515 4.3049

=====

Tm2Fe12Co5 (PBE, optimized geometry); SG = R-3m (166); energy = -7.743 eV/atom; energy relative to the elements = -0.057 eV per atom
1.0
-3.1650 4.7370 2.8120
-5.4176 -0.5620 -3.2707
-3.1692 -3.5165 4.2372
Tm Fe Co
2 12 5
Cartesian
-7.7149 0.4323 2.4805
-4.0369 0.2262 1.2980
-4.7403 1.0314 -1.4417
-3.1663 2.2553 3.2405
-3.8453 -2.6281 1.9796
-3.8423 3.1437 0.9830
-3.1680 -1.0348 3.8086
-4.7416 -1.4504 -1.0131
-5.5913 -1.5587 3.4285
-6.7306 -0.0615 -0.3760
-5.5891 2.6237 2.7063
-5.0212 0.7200 4.1545
-6.1606 2.2172 0.3500
-6.1627 -1.9652 1.0722
-1.5846 -1.7583 2.1186
-2.7088 -0.2810 -1.6353
-1.5825 2.3685 1.4060
-10.6590 0.5973 3.4271
-1.0929 0.0612 0.3514

=====

Tm8FeCo2 (PBE, optimized geometry); SG = C2/m (12); energy = -5.397 eV/atom; energy relative to the lowest polymorph listed for this composition = 0 meV per atom; energy relative to the elements = -0.084 eV per atom
1.0
-3.1679 -0.5588 -3.6060
0.9197 -6.4917 0.1980
-4.6696 2.1048 7.0139
Tm Fe Co
8 1 2
Cartesian
-4.5649 -2.1053 4.3366
-2.8128 -5.9602 0.1569
-4.6912 -3.6192 1.4443
-7.2246 0.1029 3.0931
-2.2266 -1.3266 2.1616
-4.1050 1.0144 3.4491
-2.3529 -2.8404 -0.7306
0.3068 -5.0487 0.5128
-1.5839 -0.2794 -1.8030
-5.2296 -1.0755 1.5231
-1.6882 -3.8703 2.0829

=====

Tm2FeCo (PBE, optimized geometry); SG = R-3m (166); energy = -5.571 eV/atom; energy relative to the lowest polymorph listed for this composition = 604 meV per atom; energy relative to the elements = 0.557 eV per atom
1.0
-1.2101 -0.6807 -2.9367
-1.3753 -2.8891 -0.5602
-8.9219 2.1531 1.3808
Tm Co Fe
2 1 1
Cartesian
-6.5587 1.1730 0.6342
-4.9486 -2.5896 -2.7503
-5.7536 -0.7083 -1.0581
0.0000 0.0000 0.0000